Material: TaCoNi6
Method: DFT, SCAN
State: single point on PBEsol structure

Cell: 6.148 6.148 10.054 Å, 90.00 90.00 109.78°
Positions (direct):
Co 0.243 0.757 0.000
Co 0.757 0.243 0.000
Co 0.500 0.500 0.758
Co 0.500 0.500 0.242
Ni 0.252 0.748 0.755
Ni 0.871 0.618 0.878
Ni 0.129 0.382 0.878
Ni 0.748 0.252 0.755
Ni 0.382 0.129 0.878
Ni 0.618 0.871 0.878
Ni 0.500 0.500 0.500
Ni 0.132 0.379 0.628
Ni 0.379 0.132 0.628
Ni 0.252 0.748 0.245
Ni 0.868 0.621 0.372
Ni 0.132 0.379 0.372
Ni 0.748 0.252 0.245
Ni 0.379 0.132 0.372
Ni 0.621 0.868 0.372
Ni 0.500 0.500 0.000
Ni 0.129 0.382 0.122
Ni 0.382 0.129 0.122
Ni 0.000 0.000 0.500
Ni 0.621 0.868 0.628
Ni 0.868 0.621 0.628
Ni 0.000 0.000 0.000
Ni 0.618 0.871 0.122
Ni 0.871 0.618 0.122
Ta 0.245 0.755 0.500
Ta 0.755 0.245 0.500
Ta 0.000 0.000 0.755
Ta 0.000 0.000 0.245

Values from the calculation:
V   358 Å³ per cell
Electronic total energy   -182.0 eV/f.u.
DFT formation energy   -0.131 eV per atom